# Ho3Tc, optimized geometry, DFT PBE-GGA
data_Ho3Tc
_cell_length_a 3.419
_cell_length_b 3.692
_cell_length_c 8.789
_cell_angle_alpha 90.00
_cell_angle_beta 90.00
_cell_angle_gamma 90.00
_symmetry_space_group_name_H-M 'P m m 2'
_symmetry_Int_Tables_number 25
_symmetry_space_group_name_Hall 'P 2 -2'
loop_
_atom_site_label
_atom_site_type_symbol
_atom_site_fract_x
_atom_site_fract_y
_atom_site_fract_z
Ho1 Ho 0.000 0.000 0.000
Ho2 Ho 0.000 0.500 0.342
Ho3 Ho 0.500 0.500 0.717
Tc1 Tc 0.500 0.000 0.491
# magnetic moment	0.000	μB per formula unit
# density of states at the Fermi level	5.01	states/eV/cell
# formation enthalpy at 0 K	0.313	eV/atom